DFT (PBE) results for Hg7Bi2I2 after structural relaxation.

Cell lengths 14.0320, 10.6925, 5.0872 Å; angles 90.00, 91.35, 90.00 degrees
Closest atoms and distances in Å follow each position.
Space group C2/m (No. 12)
Symmetry-distinct sites (fractional):
1 Hg 0.0000 0.0000 0.0000 [2 per cell]  2 Bi 3.02
2 Hg 0.0816 0.5000 0.1718 [4 per cell]  1 Hg 2.85, 1 Bi 3.00
3 Hg 0.2305 0.1763 0.2753 [8 per cell]  1 Hg 2.82, 1 Bi 2.96
4 Bi 0.2048 0.0000 0.8306 [4 per cell]  4 Hg 2.96-3.02
5 I 0.0000 0.2598 0.5000 [4 per cell]  4 Hg 3.28-3.57

The total moment comes out at 0.00 μB/f.u. For the energy relative to the elements, uncorrected, the calculation gives -0.30 eV per formula unit.